LiCeCdHg: relaxed, PBE.

```
4
Lattice="0.000 3.641 3.641 3.641 0.000 3.641 3.641 3.641 0.000" Properties=species:S:1:pos:R:3 pbc="T T T"
Li 0.000 0.000 0.000
Ce 3.641 3.641 3.641
Cd 1.821 1.821 1.821
Hg 5.462 5.462 5.462
```

## Properties
DFT total energy, eV per atom: -2.523
Energy relative to the elements, eV per atom: -0.2568
Space group: F-43m, No. 216